[1]
LiCdTc2: optimized geometry, PBE.

a = 3.1815 Å, b = 4.1074 Å, c = 4.7099 Å
α = 90.00°, β = 90.00°, γ = 90.00°
Space group Pmmm (No. 47)
Symmetry-distinct sites (fractional):
Li (0.0000, 0.0000, 0.0000) x1
Cd (0.5000, 0.5000, 0.0000) x1
Tc (0.0000, 0.5000, 0.5000) x1
Tc (0.5000, 0.0000, 0.5000) x1

Calculated values
The calculation puts the calculated total energy at -5.609 eV per atom. The magnetization comes out at 0.00 μB per cell. The volume is 61.5 Å³/cell.

***

[2]
PaZnFeRh: optimized geometry, PBE.

a = 6.4101 Å, b = 6.4101 Å, c = 6.4101 Å
α = 90.00°, β = 90.00°, γ = 90.00°
Space group F-43m (No. 216)
Symmetry-distinct sites (fractional):
Pa (0.0000, 0.0000, 0.0000) x4
Zn (0.0000, 0.0000, 0.5000) x4
Fe (0.2500, 0.2500, 0.7500) x4
Rh (0.2500, 0.2500, 0.2500) x4

Calculated values
The calculation puts the calculated total energy at -6.946 eV per atom. The magnetization comes out at 0.00 μB per cell. The volume is 263.4 Å³/cell.

***

[3]
Tm2TlZn5: optimized geometry, PBE.

a = 4.2642 Å, b = 16.1943 Å, c = 9.1106 Å
α = 90.00°, β = 90.00°, γ = 90.00°
Space group Cmcm (No. 63)
Symmetry-distinct sites (fractional):
Tm (0.0000, 0.0000, 0.0000) x4
Tm (0.0000, 0.2005, 0.2500) x4
Tl (0.0000, 0.4510, 0.7500) x4
Zn (0.0000, 0.1891, 0.6095) x8
Zn (0.0000, 0.3458, 0.5194) x8
Zn (0.0000, 0.3859, 0.2500) x4

Calculated values
The calculation puts the calculated total energy at -2.472 eV per atom. The magnetization comes out at 0.00 μB per cell. The volume is 629.1 Å³/cell.

***

> Look up the magnetization of the second one.

0.00 μB per cell